No. 1
Density functional theory data (PBE) for an optimized crystal structure of MnTcRu2.

Unit cell a=4.637 b=4.637 c=2.698 alpha=90.00 beta=90.00 gamma=108.98
Each line ends with the local moment (μB).
Fractional coordinates of all 4 atoms:
Ru 0.500 0.500 0.000  -0.26
Tc 0.500 0.000 0.500  -0.17
Mn 0.000 0.500 0.500  2.26
Ru 0.000 0.000 0.000  -0.26

Calculated values
DFT total energy ... -9.4377 eV/atom
E_form ... 0.3 eV/f.u.
Distance to the lowest polymorph of the same formula ... 20 meV/atom

***

No. 2
Density functional theory data (PBE) for an optimized crystal structure of SrDy4Te6.

Unit cell a=4.387 b=7.507 c=22.632 alpha=90.00 beta=90.00 gamma=106.99
Fractional coordinates of all 22 atoms:
Te 0.768 0.536 0.412
Te 0.500 0.000 0.500
Te 0.232 0.464 0.912
Te 0.047 0.095 0.340
Dy 0.591 0.182 0.626
Te 0.953 0.905 0.840
Sr 0.341 0.683 0.750
Te 0.047 0.095 0.160
Dy 0.860 0.719 0.963
Dy 0.860 0.719 0.537
Te 0.768 0.536 0.088
Sr 0.659 0.317 0.250
Te 0.329 0.657 0.250
Te 0.500 0.000 0.000
Dy 0.409 0.818 0.374
Te 0.671 0.343 0.750
Te 0.953 0.905 0.660
Dy 0.140 0.281 0.037
Dy 0.409 0.818 0.126
Dy 0.140 0.281 0.463
Dy 0.591 0.182 0.874
Te 0.232 0.464 0.588

Calculated values
ΔE_f (raw) ... -1.429 eV/atom
DFT total energy ... -4.9690 eV/atom

***

No. 3
Density functional theory data (PBE) for an optimized crystal structure of Er6Tl3O2.

Unit cell a=4.639 b=4.639 c=12.716 alpha=100.51 beta=100.51 gamma=90.00
Fractional coordinates of all 11 atoms:
Er 0.585 0.085 0.171
Tl 0.823 0.823 0.646
Tl 0.000 0.000 0.000
Er 0.915 0.415 0.829
Er 0.304 0.304 0.608
O 0.601 0.601 0.201
Er 0.696 0.696 0.392
O 0.399 0.399 0.799
Er 0.085 0.585 0.171
Tl 0.177 0.177 0.354
Er 0.415 0.915 0.829

Calculated values
ΔE_f (raw) ... -1.248 eV/atom
DFT total energy ... -5.2840 eV/atom

***

No. 4
Density functional theory data (PBE) for an optimized crystal structure of Pr4Nd5Dy2.

Unit cell a=3.531 b=9.001 c=12.377 alpha=96.85 beta=98.20 gamma=90.00
Fractional coordinates of all 11 atoms:
Nd 0.230 0.824 0.460
Pr 0.323 0.528 0.645
Pr 0.954 0.639 0.909
Pr 0.677 0.472 0.355
Dy 0.090 0.734 0.180
Nd 0.859 0.887 0.719
Pr 0.046 0.361 0.091
Nd 0.500 0.000 0.000
Dy 0.910 0.266 0.820
Nd 0.770 0.176 0.540
Nd 0.141 0.113 0.281

Calculated values
DFT total energy ... -4.6068 eV/atom
E_form ... 1.5 eV/f.u.
Distance to the lowest polymorph of the same formula ... 49 meV/atom

***

No. 5
Density functional theory data (PBE) for an optimized crystal structure of Cs3Tl2Cd4.

Unit cell a=5.249 b=7.566 c=10.880 alpha=109.84 beta=90.00 gamma=110.29
Fractional coordinates of all 9 atoms:
Cd 0.739 0.478 0.065
Cd 0.261 0.522 0.935
Tl 0.296 0.591 0.240
Cs 0.000 0.000 0.000
Cs 0.383 0.767 0.633
Cd 0.908 0.816 0.363
Cs 0.617 0.233 0.367
Tl 0.704 0.409 0.760
Cd 0.092 0.184 0.637

Calculated values
DFT total energy ... -1.2853 eV/atom
E_form ... -0.6 eV/f.u.
Distance to the lowest polymorph of the same formula ... 0 meV/atom

***

No. 6
Density functional theory data (PBE) for an optimized crystal structure of SrH7Pd2.

Unit cell a=3.657 b=5.634 c=5.634 alpha=127.18 beta=90.00 gamma=90.00
Fractional coordinates of all 10 atoms:
H 0.000 0.657 0.343
Pd 0.500 0.326 0.674
Sr 0.000 0.000 0.000
H 0.500 0.310 0.005
H 0.000 0.343 0.657
Pd 0.500 0.674 0.326
H 0.500 0.500 0.500
H 0.500 0.690 0.995
H 0.500 0.005 0.310
H 0.500 0.995 0.690

Calculated values
DFT total energy ... -3.7463 eV/atom